1.
Below is crystalline CaCoTe2 at its relaxed geometry, with properties calculated at the GGA-PBE level.

Lattice parameters (Å, degrees): 5.2057 5.2057 5.2057 60.00 60.00 60.00
Closest atoms and distances in Å follow each position.
Element x y z (fractional)
Te (0.2500, 0.2500, 0.2500)  4 Te 3.19, 4 Ca 3.19
Te (0.0000, 0.0000, 0.0000)  4 Te 3.19, 4 Co 3.19
Ca (0.5000, 0.5000, 0.5000)  4 Co 3.19, 4 Te 3.19
Co (0.7500, 0.7500, 0.7500)  4 Ca 3.19, 4 Te 3.19

- Fermi-level density of states: 4.215 states/eV/f.u.
- Energy relative to the elements, uncorrected: 161.3 meV/atom
- Symmetry: No. 216

---

2.
Below is crystalline CaCo4Te at its relaxed geometry, with properties calculated at the GGA-PBE level.

Lattice parameters (Å, degrees): 5.0507 5.0507 5.0507 60.00 60.00 60.00
Closest atoms and distances in Å follow each position.
Element x y z (fractional)
Co (0.8759, 0.3747, 0.3747)  6 Co 2.52-2.53
Co (0.3747, 0.3747, 0.3747)  6 Co 2.52-2.53
Co (0.3747, 0.8759, 0.3747)  6 Co 2.52-2.53
Co (0.3747, 0.3747, 0.8759)  6 Co 2.52-2.53
Ca (0.0000, 0.0000, 0.0000)  12 Co 2.96, 4 Te 3.09
Te (0.7500, 0.7500, 0.7500)  12 Co 2.96, 4 Ca 3.09

- Fermi-level density of states: 7.629 states/eV/f.u.
- Energy relative to the elements, uncorrected: 124.0 meV/atom
- Symmetry: No. 216

---

3.
Below is crystalline CaCoTe2 at its relaxed geometry, with properties calculated at the GGA-PBE level.

Lattice parameters (Å, degrees): 4.1092 4.1092 7.6551 90.00 90.00 120.60
Closest atoms and distances in Å follow each position.
Element x y z (fractional)
Te (0.0000, 0.0000, 0.5407)  2 Co 2.59
Te (0.0000, 0.0000, 0.9593)  2 Co 2.59
Co (0.5000, 0.5000, 0.7500)  4 Te 2.59
Ca (0.5000, 0.5000, 0.2500)  4 Te 3.02

- Fermi-level density of states: 2.862 states/eV/f.u.
- Energy relative to the elements, uncorrected: -263.0 meV/atom
- Symmetry: No. 65

---

4.
Below is crystalline CaCo2Te at its relaxed geometry, with properties calculated at the GGA-PBE level.

Lattice parameters (Å, degrees): 5.2671 5.2671 5.2671 135.74 135.74 64.38
Closest atoms and distances in Å follow each position.
Element x y z (fractional)
Ca (0.7500, 0.2500, 0.5000)  8 Co 2.81-2.98, 4 Te 2.98
Co (0.0000, 0.0000, 0.0000)  4 Te 2.81, 4 Co 2.98, 4 Ca 2.98
Co (0.2500, 0.7500, 0.5000)  4 Ca 2.81, 4 Te 2.98, 4 Co 2.98
Te (0.5000, 0.5000, 0.0000)  8 Co 2.81-2.98, 4 Ca 2.98

- Fermi-level density of states: 4.353 states/eV/f.u.
- Energy relative to the elements, uncorrected: 215.0 meV/atom
- Symmetry: No. 119

---

5.
Below is crystalline CaCo2Te at its relaxed geometry, with properties calculated at the GGA-PBE level.

Lattice parameters (Å, degrees): 4.2958 4.2958 5.5859 67.34 67.34 59.99
Closest atoms and distances in Å follow each position.
Element x y z (fractional)
Te (0.7500, 0.7500, 0.7500)  6 Co 2.50
Co (0.0611, 0.0611, 0.8167)  3 Te 2.50, 3 Co 2.57
Co (0.4389, 0.4389, 0.6833)  3 Te 2.50, 3 Co 2.57
Ca (0.2500, 0.2500, 0.2500)  2 Co 2.84

- Fermi-level density of states: 5.793 states/eV/f.u.
- Energy relative to the elements, uncorrected: -92.4 meV/atom
- Symmetry: No. 166

---

6.
Below is crystalline CaCo2Te at its relaxed geometry, with properties calculated at the GGA-PBE level.

Lattice parameters (Å, degrees): 4.1131 4.5836 4.5688 66.16 90.00 90.00
Closest atoms and distances in Å follow each position.
Element x y z (fractional)
Te (0.0000, 0.4250, 0.4260)  5 Co 2.66-2.76
Co (0.5000, 0.2062, 0.2035)  2 Co 2.27
Co (0.0000, 0.0765, 0.0804)  2 Co 2.27
Ca (0.5000, 0.7923, 0.7901)  2 Co 2.58

- Fermi-level density of states: 2.766 states/eV/f.u.
- Energy relative to the elements, uncorrected: -19.5 meV/atom
- Symmetry: No. 6

---

7.
Below is crystalline CaCoTe2 at its relaxed geometry, with properties calculated at the GGA-PBE level.

Lattice parameters (Å, degrees): 3.9288 3.9288 7.4548 90.00 90.00 90.00
Closest atoms and distances in Å follow each position.
Element x y z (fractional)
Ca (0.0000, 0.0000, 0.4378)  5 Te 3.03-3.14
Te (0.5000, 0.5000, 0.2743)  1 Co 2.57
Te (0.0000, 0.0000, 0.8585)  4 Co 2.83, 1 Ca 3.14
Co (0.5000, 0.5000, 0.9295)  5 Te 2.57-2.83

- Fermi-level density of states: 6.254 states/eV/f.u.
- Energy relative to the elements, uncorrected: -393.1 meV/atom
- Symmetry: No. 99

---

8.
Below is crystalline Ca4CoTe at its relaxed geometry, with properties calculated at the GGA-PBE level.

Lattice parameters (Å, degrees): 6.5317 6.5317 6.5317 60.00 60.00 60.00
Closest atoms and distances in Å follow each position.
Element x y z (fractional)
Co (0.7500, 0.7500, 0.7500)  12 Ca 3.83, 4 Te 4.00
Ca (0.8742, 0.3753, 0.3753)  6 Ca 3.26-3.27
Ca (0.3753, 0.3753, 0.3753)  6 Ca 3.26-3.27
Ca (0.3753, 0.3753, 0.8742)  6 Ca 3.26-3.27
Ca (0.3753, 0.8742, 0.3753)  6 Ca 3.26-3.27
Te (0.0000, 0.0000, 0.0000)  12 Ca 3.83, 4 Co 4.00

- Fermi-level density of states: 2.947 states/eV/f.u.
- Energy relative to the elements, uncorrected: 448.6 meV/atom
- Symmetry: No. 216

---

9.
Below is crystalline CaCo2Te at its relaxed geometry, with properties calculated at the GGA-PBE level.

Lattice parameters (Å, degrees): 4.1119 4.1119 6.0070 70.00 70.00 59.99
Closest atoms and distances in Å follow each position.
Element x y z (fractional)
Te (0.4597, 0.4597, 0.6207)  6 Co 2.65-2.66
Co (0.0542, 0.0542, 0.8371)  3 Co 2.37, 3 Te 2.66
Co (0.7214, 0.7214, 0.8357)  3 Co 2.37, 3 Te 2.65
Ca (0.2647, 0.2647, 0.2065)  7 Co 3.13-3.48, 4 Te 3.23-3.30

- Fermi-level density of states: 4.578 states/eV/f.u.
- Energy relative to the elements, uncorrected: -197.0 meV/atom
- Symmetry: No. 160

---

10.
Below is crystalline CaCoTe2 at its relaxed geometry, with properties calculated at the GGA-PBE level.

Lattice parameters (Å, degrees): 4.1990 4.3632 6.8479 71.50 90.00 90.00
Closest atoms and distances in Å follow each position.
Element x y z (fractional)
Ca (0.0000, 0.5495, 0.5252)  6 Te 3.25-3.33, 4 Co 3.28
Te (0.5000, 0.1404, 0.3426)  1 Co 2.44
Te (0.0000, 0.8569, 0.9132)  2 Co 2.45
Co (0.5000, 0.9533, 0.7190)  3 Te 2.44-2.45

- Fermi-level density of states: 3.735 states/eV/f.u.
- Energy relative to the elements, uncorrected: -500.1 meV/atom
- Symmetry: No. 6

---

11.
Below is crystalline CaCoTe2 at its relaxed geometry, with properties calculated at the GGA-PBE level.

Lattice parameters (Å, degrees): 5.0700 8.0773 3.7085 62.72 89.96 128.97
Closest atoms and distances in Å follow each position.
Element x y z (fractional)
Ca (0.5000, 0.5000, 0.0000)  8 Te 3.14
Te (0.0000, 0.5000, 0.5000)  4 Ca 3.14, 4 Co 3.14
Te (0.0000, 0.0000, 0.0000)  4 Co 3.14, 4 Ca 3.14
Co (0.5000, 0.0000, 0.5000)  8 Te 3.14

- Fermi-level density of states: 5.480 states/eV/f.u.
- Energy relative to the elements, uncorrected: -209.4 meV/atom
- Symmetry: No. 65

---

12.
Below is crystalline CaCo2Te at its relaxed geometry, with properties calculated at the GGA-PBE level.

Lattice parameters (Å, degrees): 5.5193 5.5193 4.1906 68.20 68.20 116.51
Closest atoms and distances in Å follow each position.
Element x y z (fractional)
Te (0.5000, 0.0000, 0.5000)  4 Co 2.78, 4 Ca 2.90-2.97
Co (0.0000, 0.0000, 0.0000)  2 Te 2.78, 2 Ca 2.78, 4 Co 2.90-2.97
Co (0.5000, 0.5000, 0.0000)  2 Ca 2.78, 2 Te 2.78, 4 Co 2.90-2.97
Ca (0.0000, 0.5000, 0.5000)  4 Co 2.78, 4 Te 2.90-2.97

- Fermi-level density of states: 6.251 states/eV/f.u.
- Energy relative to the elements, uncorrected: 387.0 meV/atom
- Symmetry: No. 12

---

13.
Below is crystalline CaCoTe2 at its relaxed geometry, with properties calculated at the GGA-PBE level.

Lattice parameters (Å, degrees): 8.6503 8.6503 8.6503 31.55 31.55 31.55
Closest atoms and distances in Å follow each position.
Element x y z (fractional)
Te (0.9011, 0.9011, 0.9011)  1 Co 2.44
Te (0.0989, 0.0989, 0.0989)  1 Co 2.44
Ca (0.5000, 0.5000, 0.5000)  6 Te 3.19
Co (0.0000, 0.0000, 0.0000)  2 Te 2.44

- Fermi-level density of states: 11.198 states/eV/f.u.
- Energy relative to the elements, uncorrected: -176.3 meV/atom
- Symmetry: No. 166

---

14.
Below is crystalline Ca3CoTe at its relaxed geometry, with properties calculated at the GGA-PBE level.

Lattice parameters (Å, degrees): 5.2661 5.2661 5.2661 90.00 90.00 90.00
Closest atoms and distances in Å follow each position.
Element x y z (fractional)
Ca (0.5000, 0.0000, 0.0000)  2 Co 2.63
Ca (0.0000, 0.0000, 0.5000)  2 Co 2.63
Ca (0.0000, 0.5000, 0.0000)  2 Co 2.63
Co (0.0000, 0.0000, 0.0000)  6 Ca 2.63
Te (0.5000, 0.5000, 0.5000)  12 Ca 3.72

- Fermi-level density of states: 4.611 states/eV/f.u.
- Energy relative to the elements, uncorrected: -262.2 meV/atom
- Symmetry: No. 221
- Polymorph energy (0 for the lowest one): 0.000 eV per atom